1.
DFT (PBE) results for crystalline Y2ReRu at its relaxed geometry.

Lattice parameters (Å, degrees): 8.828 8.828 8.828 21.71 21.71 21.71
Positions (direct):
Y1 0.248 0.248 0.248
Y2 0.752 0.752 0.752
Re1 0.000 0.000 0.000
Ru1 0.500 0.500 0.500

Properties
formation energy from the elements	0.41	eV per atom
offset from the most stable computed form	43.55	kJ/mol of atoms
DFT total energy	-8.252	eV per atom
N(E_F)	1.379	states/eV/atom
space group	R-3m


2.
DFT (PBE) results for crystalline Zn2Cu2Rh at its relaxed geometry.

Lattice parameters (Å, degrees): 4.226 4.226 4.935 115.51 115.51 59.90
Positions (direct):
Zn1 0.208 0.208 0.125
Zn2 0.792 0.792 0.875
Cu1 0.404 0.404 0.711
Cu2 0.596 0.596 0.289
Rh1 0.000 0.000 0.500

Properties
formation energy from the elements	-0.14	eV per atom
offset from the most stable computed form	0.00	kJ/mol of atoms
DFT total energy	-3.755	eV per atom
N(E_F)	0.314	states/eV/atom
space group	C2/m